This record from Alexandria describes a relaxed Zr2TlCd crystal. The functional is PBEsol.

Crystal system: monoclinic
Electronic total energy (eV per atom): -5.615
Formation energy (meV per atom): -114

Lattice parameters (Å, degrees): 3.164 5.115 5.237 90.00 90.75 90.00
Space group Pm (No. 6)
Symmetry-distinct sites (fractional):
Zr 0.000 0.000 0.000 (multiplicity 1)
Zr 0.033 0.500 0.618 (multiplicity 1)
Tl 0.512 0.000 0.498 (multiplicity 1)
Cd 0.521 0.500 0.114 (multiplicity 1)

***

This record from Alexandria describes a relaxed MnCrPb2 crystal. The functional is PBEsol.

Crystal system: tetragonal
Electronic total energy (eV per atom): -6.343
Formation energy (meV per atom): 658

Lattice parameters (Å, degrees): 4.050 4.050 9.865 90.00 90.00 90.00
Space group I-4m2 (No. 119)
Symmetry-distinct sites (fractional):
Mn 0.000 0.000 0.000 (multiplicity 2)
Cr 0.000 0.500 0.750 (multiplicity 2)
Pb 0.000 0.000 0.500 (multiplicity 2)
Pb 0.000 0.500 0.250 (multiplicity 2)

***

This record from Alexandria describes a relaxed In2AsSe crystal. The functional is PBEsol.

Excess energy over the best structure of this formula in the dataset (eV/atom): 0.408
Crystal system: orthorhombic
Electronic total energy (eV per atom): -3.629

Lattice parameters (Å, degrees): 3.482 4.772 5.383 90.00 90.00 90.00
Space group Pmmm (No. 47)
Symmetry-distinct sites (fractional):
In 0.000 0.000 0.000 (multiplicity 1)
In 0.500 0.500 0.000 (multiplicity 1)
As 0.000 0.500 0.500 (multiplicity 1)
Se 0.500 0.000 0.500 (multiplicity 1)

***

This record from Alexandria describes a relaxed BeCo2Os crystal. The functional is PBEsol.

Crystal system: tetragonal
Electronic total energy (eV per atom): -8.059
Formation energy (meV per atom): -137

Lattice parameters (Å, degrees): 2.577 2.577 6.159 90.00 90.00 90.00
Space group P4/mmm (No. 123)
Symmetry-distinct sites (fractional):
Be 0.000 0.000 0.000 (multiplicity 1)
Co 0.500 0.500 0.213 (multiplicity 2)
Os 0.000 0.000 0.500 (multiplicity 1)

***

Q: electronic total energy of number 4 (BeCo2Os)?
A: -8.059 eV per atom

***

Q: Which of these has the highest electronic total energy?
A: In2AsSe

***

Please write out number 4 again, unchanged.
This record from Alexandria describes a relaxed BeCo2Os crystal. The functional is PBEsol.

Crystal system: tetragonal
Electronic total energy (eV per atom): -8.059
Formation energy (meV per atom): -137

Lattice parameters (Å, degrees): 2.577 2.577 6.159 90.00 90.00 90.00
Space group P4/mmm (No. 123)
Symmetry-distinct sites (fractional):
Be 0.000 0.000 0.000 (multiplicity 1)
Co 0.500 0.500 0.213 (multiplicity 2)
Os 0.000 0.000 0.500 (multiplicity 1)